VASP calculation (GGA+U) on an optimized crystal structure of KLaV4O12.

CIF file:
```
data_KLaV4O12
_symmetry_space_group_name_H-M 'A m m 2'
_symmetry_Int_Tables_number 38
_cell_length_a 7.268
_cell_length_b 6.925
_cell_length_c 10.707
_cell_angle_alpha 90.00
_cell_angle_beta 90.00
_cell_angle_gamma 90.00
loop_
_symmetry_equiv_pos_as_xyz
'x,y,z'
'-x,-y,z'
'-x,y,z'
'x,-y,z'
'x,y+1/2,z+1/2'
'-x,-y+1/2,z+1/2'
'-x,y+1/2,z+1/2'
'x,-y+1/2,z+1/2'
loop_
_atom_site_label
_atom_site_fract_x
_atom_site_fract_y
_atom_site_fract_z
K1 0.000 0.000 0.000
La1 0.500 0.000 0.453
V1 0.252 0.245 0.732
O1 0.000 0.227 0.224
O2 0.221 0.000 0.794
O3 0.256 0.000 0.300
O4 0.298 0.235 0.578
O5 0.500 0.237 0.795
```

Output
- ρ (g/cm³) = 3.54
- calculated total energy (eV per atom) = -7.3949
- crystal system = orthorhombic